The following is a GGA-PBE calculation of a relaxed ZnGa2Bi2 crystal, from the Alexandria database.

Values from the calculation:
polymorph energy (0 for the lowest one)	0.096	eV per atom
total magnetization	0.00	μB/atom
V	262	Å³ per cell
density of states at the Fermi level	6.58	states/eV per cell
space-group type	P4/mbm
ΔE_f	0.201	eV per atom

Unit cell a=8.069 b=8.069 c=4.025 alpha=90.00 beta=90.00 gamma=90.00
Sites, in units of the cell vectors:
1 Zn 0.000 0.000 0.000
2 Zn 0.500 0.500 0.000
3 Bi 0.328 0.828 0.000
4 Bi 0.828 0.672 0.000
5 Bi 0.672 0.172 0.000
6 Bi 0.172 0.328 0.000
7 Ga 0.125 0.625 0.500
8 Ga 0.625 0.875 0.500
9 Ga 0.875 0.375 0.500
10 Ga 0.375 0.125 0.500